Model one:
Computed, not measured: a relaxed structure of Ac2Sn3Pt at the GGA-PBE level of DFT.

## Properties
M_tot   0.00 μB/cell

a b c (Å): 6.465 6.465 7.810
angles (deg): 126.97 126.97 43.91
Atoms (fractional coordinates):
Ac1 0.000 0.000 0.000
Ac2 0.125 0.125 0.645
Sn1 0.376 0.376 0.563
Sn2 0.442 0.442 0.231
Sn3 0.740 0.740 0.090
Pt1 0.738 0.738 0.451


Model two:
Computed, not measured: a relaxed structure of Ac2Sn3Pt at the GGA-PBE level of DFT.

## Properties
M_tot   0.00 μB/cell

a b c (Å): 4.561 4.873 8.124
angles (deg): 90.00 90.00 90.00
Atoms (fractional coordinates):
Ac1 0.000 0.000 0.000
Ac2 0.000 0.500 0.476
Sn1 0.500 0.000 0.626
Sn2 0.500 0.500 0.166
Sn3 0.500 0.500 0.813
Pt1 0.500 0.000 0.298


Stability summary: most stable model two, least stable model one.